1.
VASP calculation (GGA-PBE) on an optimized crystal structure of KAlSi.

The structure belongs to space group P1 (No. 1); the cell edges are 4.2045, 6.0820 and 6.8162 Å and the angles 79.48°, 73.36° and 70.19°. The distinct sites, in fractional coordinates, are K at (0.0000, 0.0000, 0.0000), K at (0.2122, 0.4599, 0.0565), Al at (0.4142, 0.7577, 0.4188), Al at (0.4787, 0.1690, 0.5183), Si at (0.8104, 0.7575, 0.6650) and Si at (0.8414, 0.3810, 0.5891).

As for the uncorrected formation energy: 161 meV/atom. The calculation puts the total energy at -0.1198 hartree per atom.

=====

2.
VASP calculation (GGA-PBE) on an optimized crystal structure of K2AlSi.

The structure belongs to space group P4/mmm (No. 123); the cell edges are 6.5712, 6.5712 and 2.8909 Å and the angles 90.00°, 90.00° and 90.00°. The distinct sites, in fractional coordinates, are K at (0.0000, 0.5000, 0.0000), Al at (0.0000, 0.0000, 0.5000) and Si at (0.5000, 0.5000, 0.5000).

As for the uncorrected formation energy: 598 meV/atom. The calculation puts the total energy at -0.0824 hartree per atom. As for the energy above the most stable polymorph in this dataset: 0.6080 eV per atom.